# 1
VASP calculation (PBE) on Ag2TeF after structural relaxation.

Results
As for the crystal system: tetragonal. The formation energy (no corrections) is -1.658 eV/f.u. As for the symmetry: I-42d. The total DFT energy (no corrections) comes out at -3.09 eV/atom. Its energy relative to the lowest polymorph listed for this composition is 88 meV/atom.

The structure in POSCAR format:
```
Ag2TeF
1.0
5.638 0.000 0.000
0.000 5.638 0.000
0.000 0.000 12.644
Ag Te F
8 4 4
direct
0.198 0.250 0.125
0.250 0.698 0.375
0.250 0.802 0.875
0.302 0.250 0.625
0.698 0.750 0.625
0.750 0.198 0.875
0.750 0.302 0.375
0.802 0.750 0.125
0.000 0.000 0.500
0.000 0.500 0.750
0.500 0.000 0.250
0.500 0.500 0.000
0.000 0.000 0.000
0.000 0.500 0.250
0.500 0.000 0.750
0.500 0.500 0.500
```


# 2
VASP calculation (PBE) on Ag3TeF8 after structural relaxation.

Results
As for the crystal system: orthorhombic. The formation energy (no corrections) is -17.569 eV/f.u. As for the symmetry: C222. The total DFT energy (no corrections) comes out at -3.69 eV/atom.

The structure in POSCAR format:
```
Ag3TeF8
1.0
2.862 -5.713 0.000
2.862 5.713 0.000
0.000 0.000 7.151
Ag Te F
3 1 8
direct
0.000 0.000 0.000
0.000 0.500 0.767
0.500 0.000 0.233
0.000 0.000 0.500
0.186 0.814 0.500
0.190 0.810 0.000
0.222 0.264 0.714
0.264 0.222 0.286
0.736 0.778 0.286
0.778 0.736 0.714
0.810 0.190 0.000
0.814 0.186 0.500
```


# 3
VASP calculation (PBE) on Ag2Te2F after structural relaxation.

Results
As for the crystal system: triclinic. The formation energy (no corrections) is -2.148 eV/f.u. As for the symmetry: P1. The total DFT energy (no corrections) comes out at -3.20 eV/atom. Its energy relative to the lowest polymorph listed for this composition is 62 meV/atom.

The structure in POSCAR format:
```
Ag2Te2F
1.0
6.028 0.000 0.000
1.814 5.812 0.000
2.484 -0.099 6.882
Ag Te F
4 4 2
direct
0.000 0.000 0.000
0.001 0.836 0.396
0.503 0.841 0.646
0.899 0.554 0.146
0.353 0.297 0.532
0.438 0.802 0.068
0.518 0.236 0.114
0.834 0.409 0.520
0.081 0.866 0.678
0.147 0.360 0.856
```


# 4
VASP calculation (PBE) on Ag2TeF after structural relaxation.

Results
As for the crystal system: cubic. The formation energy (no corrections) is -1.512 eV/f.u. As for the symmetry: Fm-3m. The total DFT energy (no corrections) comes out at -3.06 eV/atom. Its energy relative to the lowest polymorph listed for this composition is 125 meV/atom.

The structure in POSCAR format:
```
Ag2TeF
1.0
6.708 0.000 0.000
0.000 6.708 0.000
0.000 0.000 6.708
Ag Te F
8 4 4
direct
0.250 0.250 0.250
0.250 0.250 0.750
0.250 0.750 0.250
0.250 0.750 0.750
0.750 0.250 0.250
0.750 0.250 0.750
0.750 0.750 0.250
0.750 0.750 0.750
0.000 0.000 0.000
0.000 0.500 0.500
0.500 0.000 0.500
0.500 0.500 0.000
0.000 0.000 0.500
0.000 0.500 0.000
0.500 0.000 0.000
0.500 0.500 0.500
```